Entry 1:
The following is a PBE calculation of an optimized crystal structure of NdP2Ir, from the Alexandria database.

```
data_NdP2Ir
_space_group_name_H-M_alt 'I -4 m 2'
_space_group_IT_number 119
_space_group_name_Hall 'I -4 -2'
_cell_length_a 3.998
_cell_length_b 3.998
_cell_length_c 9.725
_cell_angle_alpha 90.00
_cell_angle_beta 90.00
_cell_angle_gamma 90.00
loop_
_atom_site_label
_atom_site_type_symbol
_atom_site_fract_x
_atom_site_fract_y
_atom_site_fract_z
Nd1 Nd 0.000 0.000 0.000
P1 P 0.000 0.000 0.376
Ir1 Ir 0.000 0.500 0.750
```

Computed properties:
As for the energy relative to the lowest polymorph listed for this composition: 0.052 eV per atom.

Entry 2:
The following is a PBE calculation of an optimized crystal structure of NdP2Ir4, from the Alexandria database.

```
data_NdP2Ir4
_space_group_name_H-M_alt 'P 42/m n m'
_space_group_IT_number 136
_space_group_name_Hall '-P 4n 2n'
_cell_length_a 7.672
_cell_length_b 7.672
_cell_length_c 3.794
_cell_angle_alpha 90.00
_cell_angle_beta 90.00
_cell_angle_gamma 90.00
loop_
_atom_site_label
_atom_site_type_symbol
_atom_site_fract_x
_atom_site_fract_y
_atom_site_fract_z
Nd1 Nd 0.000 0.000 0.000
P1 P 0.230 0.230 0.500
Ir1 Ir 0.074 0.671 0.500
```

Entry 3:
The following is a PBE calculation of an optimized crystal structure of Nd2P4Ir5, from the Alexandria database.

```
data_Nd2P4Ir5
_space_group_name_H-M_alt 'F m m m'
_space_group_IT_number 69
_space_group_name_Hall '-F 2 2'
_cell_length_a 5.481
_cell_length_b 9.897
_cell_length_c 14.203
_cell_angle_alpha 90.00
_cell_angle_beta 90.00
_cell_angle_gamma 90.00
loop_
_atom_site_label
_atom_site_type_symbol
_atom_site_fract_x
_atom_site_fract_y
_atom_site_fract_z
Nd1 Nd 0.000 0.000 0.134
P1 P 0.000 0.161 0.372
Ir1 Ir 0.000 0.000 0.500
Ir2 Ir 0.250 0.250 0.000
Ir3 Ir 0.250 0.250 0.250
```

Entry 4:
The following is a PBE calculation of an optimized crystal structure of NdP4Ir5, from the Alexandria database.

```
data_NdP4Ir5
_space_group_name_H-M_alt 'P m m n'
_space_group_IT_number 59
_cell_length_a 6.930
_cell_length_b 10.519
_cell_length_c 4.576
_cell_angle_alpha 90.00
_cell_angle_beta 90.00
_cell_angle_gamma 90.00
loop_
_space_group_symop_operation_xyz
'x,y,z'
'-x,-y,-z'
'-x+1/2,-y+1/2,z'
'x+1/2,y+1/2,-z'
'x+1/2,-y,-z'
'-x+1/2,y,z'
'-x,y+1/2,-z'
'x,-y+1/2,z'
loop_
_atom_site_label
_atom_site_type_symbol
_atom_site_fract_x
_atom_site_fract_y
_atom_site_fract_z
Nd1 Nd 0.250 0.250 0.021
P1 P 0.022 0.750 0.506
P2 P 0.250 0.532 0.769
Ir1 Ir 0.054 0.566 0.248
Ir2 Ir 0.250 0.750 0.902
```

Entry 5:
The following is a PBE calculation of an optimized crystal structure of NdP2Ir, from the Alexandria database.

```
data_NdP2Ir
_space_group_name_H-M_alt 'R -3 m'
_space_group_IT_number 166
_space_group_name_Hall '-R 3 2"'
_cell_length_a 3.9275
_cell_length_b 3.9275
_cell_length_c 16.4431
_cell_angle_alpha 90.00
_cell_angle_beta 90.00
_cell_angle_gamma 120.00
loop_
_atom_site_label
_atom_site_type_symbol
_atom_site_fract_x
_atom_site_fract_y
_atom_site_fract_z
Nd1 Nd 0.0000 0.0000 0.0000
P1 P 0.0000 0.0000 0.2252
Ir1 Ir 0.0000 0.0000 0.5000
```

Computed properties:
As for the energy relative to the lowest polymorph listed for this composition: 0.000 eV per atom.

Entry 6:
The following is a PBE calculation of an optimized crystal structure of Nd2P4Ir3Pd, from the Alexandria database.

```
data_Nd2P4Ir3Pd
_space_group_name_H-M_alt 'P -4 m 2'
_space_group_IT_number 115
_cell_length_a 4.249
_cell_length_b 4.249
_cell_length_c 9.478
_cell_angle_alpha 90.00
_cell_angle_beta 90.00
_cell_angle_gamma 90.00
loop_
_space_group_symop_operation_xyz
'x,y,z'
'y,-x,-z'
'-x,-y,z'
'-y,x,-z'
'-x,y,z'
'-y,-x,-z'
'x,-y,z'
'y,x,-z'
loop_
_atom_site_label
_atom_site_type_symbol
_atom_site_fract_x
_atom_site_fract_y
_atom_site_fract_z
Nd1 Nd 0.000 0.500 0.242
P1 P 0.000 0.000 0.000
P2 P 0.000 0.500 0.638
P3 P 0.500 0.500 0.000
Ir1 Ir 0.000 0.500 0.889
Ir2 Ir 0.500 0.500 0.500
Pd1 Pd 0.000 0.000 0.500
```

| no. | formation energy from the elements (eV per atom) |
| --- | --- |
| 1 | -0.96 |
| 2 | -0.64 |
| 3 | -0.74 |
| 4 | -0.51 |
| 5 | -1.01 |
| 6 | -0.99 |